Entry 1:
An optimized crystal structure of BaLi4Zn. Source: the Alexandria database, functional PBE.

Energy relative to the lowest polymorph listed for this composition in meV per atom: 31
Theoretical density in g cm⁻³: 2.71
Energy of formation in meV/atom: 20

CIF file:
```
data_BaLi4Zn
_symmetry_space_group_name_H-M 'P 1'
_symmetry_Int_Tables_number 1
_cell_length_a 5.848
_cell_length_b 5.848
_cell_length_c 5.848
_cell_angle_alpha 60.00
_cell_angle_beta 60.00
_cell_angle_gamma 60.00
loop_
_symmetry_equiv_pos_as_xyz
'x,y,z'
loop_
_atom_site_label
_atom_site_type_symbol
_atom_site_fract_x
_atom_site_fract_y
_atom_site_fract_z
_atom_site_occupancy
Ba1 Ba 0.000 0.000 0.000 1
Li1 Li 0.379 0.379 0.379 1
Li2 Li 0.379 0.379 0.864 1
Li3 Li 0.379 0.864 0.379 1
Li4 Li 0.864 0.379 0.379 1
Zn1 Zn 0.750 0.750 0.750 1
```

Entry 2:
An optimized crystal structure of BaLi8Zn4. Source: the Alexandria database, functional PBE.

Theoretical density in g cm⁻³: 2.94
Energy of formation in meV/atom: -112

CIF file:
```
data_BaLi8Zn4
_symmetry_space_group_name_H-M 'P 1'
_symmetry_Int_Tables_number 1
_cell_length_a 7.448
_cell_length_b 7.448
_cell_length_c 7.448
_cell_angle_alpha 97.28
_cell_angle_beta 97.28
_cell_angle_gamma 138.29
loop_
_symmetry_equiv_pos_as_xyz
'x,y,z'
loop_
_atom_site_label
_atom_site_type_symbol
_atom_site_fract_x
_atom_site_fract_y
_atom_site_fract_z
_atom_site_occupancy
Ba1 Ba 0.000 0.000 0.000 1
Li1 Li 0.000 0.352 0.352 1
Li2 Li 0.000 0.648 0.648 1
Li3 Li 0.258 0.500 0.758 1
Li4 Li 0.352 0.000 0.352 1
Li5 Li 0.500 0.258 0.758 1
Li6 Li 0.500 0.742 0.242 1
Li7 Li 0.648 0.000 0.648 1
Li8 Li 0.742 0.500 0.242 1
Zn1 Zn 0.000 0.000 0.500 1
Zn2 Zn 0.000 0.500 0.000 1
Zn3 Zn 0.500 0.000 0.000 1
Zn4 Zn 0.500 0.500 0.500 1
```